No. 1
This record from Alexandria describes a relaxed structure of NdLu3. The functional is PBE.

```
NdLu3
1.0
-6.0502 -3.7855 -0.0618
5.3599 -1.9087 4.3089
-2.0897 3.2737 4.0494
Lu Nd
6 2
direct
0.8353 0.6706 0.7500
0.8353 0.1647 0.7500
0.3294 0.1647 0.7500
0.6706 0.8353 0.2500
0.1647 0.3294 0.2500
0.1647 0.8353 0.2500
0.3333 0.6667 0.7500
0.6667 0.3333 0.2500
```

Values from the calculation:
Its distance to the lowest polymorph of the same formula is 0.00 eV/f.u. Its crystal system is hexagonal. As for the formation energy from the elements: 0.01 eV/atom.

---

No. 2
This record from Alexandria describes a relaxed structure of Cs2InCl. The functional is PBE.

```
Cs2InCl
1.0
9.9286 0.0000 0.0000
0.0000 9.9286 0.0000
4.9643 4.9643 4.6582
In Cl Cs
2 2 4
direct
0.7500 0.2500 0.5000
0.0000 0.0000 0.0000
0.2500 0.7500 0.5000
0.5000 0.5000 0.0000
0.8750 0.8115 0.7500
0.3750 0.4385 0.7500
0.1885 0.6250 0.2500
0.5615 0.1250 0.2500
```

Values from the calculation:
Its energy relative to the elements, uncorrected is -261 kJ/mol of formula units. Its distance to the lowest polymorph of the same formula is 0.08 eV/f.u. Its crystal system is tetragonal.

---

No. 3
This record from Alexandria describes a relaxed structure of Pm6AsPt2Se3. The functional is PBE.

```
Pm6AsPt2Se3
1.0
-0.0515 -4.0847 -0.7181
8.3509 -0.4498 1.9599
-4.4908 0.6828 8.4162
Pm Pt Se As
6 2 3 1
direct
0.6663 0.1018 0.3325
0.0039 0.2465 0.0078
0.3337 0.8982 0.6675
0.6693 0.5785 0.3385
0.9961 0.7535 0.9922
0.3307 0.4215 0.6615
0.8320 0.6601 0.6640
0.1680 0.3399 0.3360
0.1628 0.8404 0.3256
0.8372 0.1596 0.6744
0.5000 0.5000 0.0000
0.5000 0.0000 0.0000
```

Values from the calculation:
Its energy relative to the elements, uncorrected is -1772 kJ/mol of formula units. Its crystal system is monoclinic.

---

Number 1: E -4.573 eV per atom. Number 2: E -2.249 eV per atom. Number 3: E -6.171 eV per atom.